Entry 1:
A geometry-optimized Th3MnBr3 structure, computed with PBE-GGA.

Calculated values
theoretical density = 7.5 Mg/m³
E_form (uncorrected) = -0.882 eV per atom
D(E_F) = 0.76 states/eV per atom
space-group type = P2_1/m

abc: 3.8894 9.2044 12.3498
angles: 93.58 90.00 90.00
Sites, in units of the cell vectors:
Mn: 0.2500 0.8665 0.3713
Th: 0.2500 0.8624 0.1529
Th: 0.7500 0.0724 0.3881
Th: 0.2500 0.9276 0.6119
Br: 0.7500 0.6246 0.6243
Th: 0.2500 0.3206 0.6244
Br: 0.2500 0.3754 0.3757
Br: 0.7500 0.6066 0.1276
Th: 0.7500 0.6794 0.3756
Br: 0.2500 0.8820 0.8795
Br: 0.7500 0.1180 0.1205
Mn: 0.7500 0.1335 0.6287
Br: 0.2500 0.3934 0.8724
Th: 0.7500 0.1376 0.8471


Entry 2:
A geometry-optimized Tb6C2Se3O structure, computed with PBE-GGA.

Calculated values
theoretical density = 8.5 Mg/m³
E_form (uncorrected) = -1.541 eV per atom
D(E_F) = 0.35 states/eV per atom
space-group type = C2/m

abc: 3.7578 7.8584 8.7210
angles: 106.57 102.44 90.00
Sites, in units of the cell vectors:
Tb: 0.0137 0.2307 0.0274
Se: 0.8352 0.1674 0.6704
C: 0.1634 0.3264 0.3269
Tb: 0.6600 0.1126 0.3201
C: 0.8366 0.6736 0.6731
Se: 0.5000 0.5000 0.0000
Se: 0.1648 0.8326 0.3296
Tb: 0.3234 0.4434 0.6468
Tb: 0.3400 0.8874 0.6799
O: 0.5000 0.0000 0.0000
Tb: 0.6766 0.5566 0.3532
Tb: 0.9863 0.7693 0.9726


Entry 3:
A geometry-optimized SrOsW2 structure, computed with PBE-GGA.

Calculated values
E above lowest polymorph = 0.422 eV per atom
ΔE_f = 1.11 eV per atom
theoretical density = 14.8 Mg/m³
D(E_F) = 0.79 states/eV per atom
space-group type = C2/m

abc: 5.5273 5.6261 2.7446
angles: 81.40 78.92 116.38
Sites, in units of the cell vectors:
W: 0.5000 0.0000 0.5000
W: 0.0000 0.0000 0.0000
Sr: 0.5000 0.5000 0.0000
Os: 0.0000 0.5000 0.5000


Entry 4:
A geometry-optimized Tb4AlSe3 structure, computed with PBE-GGA.

Calculated values
theoretical density = 7.4 Mg/m³
E_form (uncorrected) = -1.407 eV per atom
D(E_F) = 0.42 states/eV per atom
space-group type = Cmmm

abc: 4.0418 7.2583 7.2583
angles: 108.56 90.00 90.00
Sites, in units of the cell vectors:
Tb: 0.0000 0.2509 0.2509
Se: 0.5000 0.5000 0.5000
Se: 0.0000 0.5000 0.0000
Tb: 0.0000 0.7491 0.7491
Tb: 0.5000 0.7535 0.2465
Se: 0.0000 0.0000 0.5000
Tb: 0.5000 0.2465 0.7535
Al: 0.5000 0.0000 0.0000


Entry 5:
A geometry-optimized AcTbPr2S6 structure, computed with PBE-GGA.

Calculated values
theoretical density = 4.9 Mg/m³
E_form (uncorrected) = -2.039 eV per atom
D(E_F) = 0.00 states/eV per atom
space-group type = R3

abc: 7.2686 7.2684 7.6167
angles: 61.49 61.49 60.00
Sites, in units of the cell vectors:
S: 0.3973 0.7085 0.7538
Tb: 0.3166 0.3165 0.0504
Pr: 0.5235 0.5235 0.4295
S: 0.2143 0.9304 0.2491
Ac: 0.8071 0.8071 0.5786
S: 0.7085 0.1403 0.7539
S: 0.1403 0.3974 0.7539
S: 0.6062 0.2142 0.2491
S: 0.9305 0.6062 0.2492
Pr: 0.0174 0.0175 0.9476


Number 1: total magnetization 0.00 μB per formula unit. Number 2: total magnetization 0.00 μB per formula unit. Number 3: total magnetization 0.00 μB per formula unit. Number 4: total magnetization 0.00 μB per formula unit. Number 5: total magnetization 0.00 μB per formula unit.